1.
The following is a DFT calculation (PBE) of an optimized crystal structure of DyZn4Pd.

Lattice parameters (Å, degrees): 7.886 3.927 6.931 90.00 90.00 90.00
Fractional positions:
Dy (0.250, 0.000, 0.117)
Dy (0.750, 0.000, 0.883)
Zn (0.000, 0.000, 0.500)
Zn (0.043, 0.500, 0.809)
Zn (0.250, 0.500, 0.447)
Zn (0.457, 0.500, 0.809)
Zn (0.500, 0.000, 0.500)
Zn (0.543, 0.500, 0.191)
Zn (0.750, 0.500, 0.553)
Zn (0.957, 0.500, 0.191)
Pd (0.250, 0.000, 0.715)
Pd (0.750, 0.000, 0.285)

As for the energy: -34.53 eV/cell. The magnetization is 0.00 μB per cell. The value obtained for the formation energy is -0.40 eV/atom. As for the volume: 17.89 Å³ per atom.

---

2.
The following is a DFT calculation (PBE) of an optimized crystal structure of Dy2Zn5Pd5.

Lattice parameters (Å, degrees): 4.390 5.224 9.147 90.00 90.00 90.00
Fractional positions:
Dy (0.000, 0.000, 0.000)
Dy (0.000, 0.500, 0.500)
Zn (0.500, 0.000, 0.500)
Zn (0.500, 0.250, 0.250)
Zn (0.500, 0.250, 0.750)
Zn (0.500, 0.750, 0.250)
Zn (0.500, 0.750, 0.750)
Pd (0.000, 0.000, 0.333)
Pd (0.000, 0.000, 0.667)
Pd (0.000, 0.500, 0.179)
Pd (0.000, 0.500, 0.821)
Pd (0.500, 0.500, 0.000)

As for the energy: -49.35 eV/cell. The magnetization is 0.00 μB per cell. The value obtained for the formation energy is -0.65 eV/atom. As for the volume: 17.48 Å³ per atom.

---

3.
The following is a DFT calculation (PBE) of an optimized crystal structure of DyZnPd6.

Lattice parameters (Å, degrees): 4.051 4.051 7.938 90.00 90.00 90.00
Fractional positions:
Dy (0.000, 0.000, 0.000)
Zn (0.000, 0.000, 0.500)
Pd (0.000, 0.500, 0.265)
Pd (0.000, 0.500, 0.735)
Pd (0.500, 0.000, 0.265)
Pd (0.500, 0.000, 0.735)
Pd (0.500, 0.500, 0.000)
Pd (0.500, 0.500, 0.500)

As for the energy: -41.64 eV/cell. The magnetization is 0.00 μB per cell. The value obtained for the formation energy is -0.58 eV/atom. As for the volume: 16.28 Å³ per atom.

---

4.
The following is a DFT calculation (PBE) of an optimized crystal structure of DyZnPd.

Lattice parameters (Å, degrees): 4.572 4.572 4.572 60.00 60.00 60.00
Fractional positions:
Dy (0.000, 0.000, 0.000)
Zn (0.500, 0.500, 0.500)
Pd (0.750, 0.750, 0.750)

As for the energy: -12.75 eV/cell. The magnetization is 0.00 μB per cell. The value obtained for the formation energy is -0.56 eV/atom. As for the volume: 22.52 Å³ per atom.

---

5.
The following is a DFT calculation (PBE) of an optimized crystal structure of Dy2Zn3Pd4.

Lattice parameters (Å, degrees): 8.052 8.052 7.637 90.00 90.00 139.30
Fractional positions:
Dy (0.113, 0.887, 0.920)
Dy (0.387, 0.613, 0.420)
Dy (0.613, 0.387, 0.580)
Dy (0.887, 0.113, 0.080)
Zn (0.000, 0.000, 0.500)
Zn (0.022, 0.478, 0.750)
Zn (0.478, 0.022, 0.250)
Zn (0.500, 0.500, 0.000)
Zn (0.522, 0.978, 0.750)
Zn (0.978, 0.522, 0.250)
Pd (0.177, 0.823, 0.524)
Pd (0.193, 0.307, 0.750)
Pd (0.307, 0.193, 0.250)
Pd (0.323, 0.677, 0.024)
Pd (0.677, 0.323, 0.976)
Pd (0.693, 0.807, 0.750)
Pd (0.807, 0.693, 0.250)
Pd (0.823, 0.177, 0.476)

As for the energy: -80.74 eV/cell. The magnetization is 0.00 μB per cell. The value obtained for the formation energy is -0.73 eV/atom. As for the volume: 17.94 Å³ per atom.

---

6.
The following is a DFT calculation (PBE) of an optimized crystal structure of Dy3ZnPd12.

Lattice parameters (Å, degrees): 4.095 4.095 16.111 90.00 90.00 90.00
Fractional positions:
Dy (0.000, 0.000, 0.000)
Dy (0.000, 0.000, 0.258)
Dy (0.000, 0.000, 0.742)
Zn (0.000, 0.000, 0.500)
Pd (0.000, 0.500, 0.129)
Pd (0.000, 0.500, 0.386)
Pd (0.000, 0.500, 0.614)
Pd (0.000, 0.500, 0.871)
Pd (0.500, 0.000, 0.129)
Pd (0.500, 0.000, 0.386)
Pd (0.500, 0.000, 0.614)
Pd (0.500, 0.000, 0.871)
Pd (0.500, 0.500, 0.000)
Pd (0.500, 0.500, 0.257)
Pd (0.500, 0.500, 0.500)
Pd (0.500, 0.500, 0.743)

As for the energy: -89.02 eV/cell. The magnetization is 0.00 μB per cell. The value obtained for the formation energy is -0.73 eV/atom. As for the volume: 16.89 Å³ per atom.